GGA-PBE Ba2SnSbPd6, optimized geometry; total energy = -49.2 eV for the cell shown; DOS at the Fermi energy = 4.07 states/eV per cell; magnetization = 0.0 μB per cell; energy relative to the elements, uncorrected = -0.6102 eV per atom
1.0
7.044 0.280 1.014
0.266 7.068 1.100
4.412 4.401 6.241
Ba Sn Pd Sb
2 1 6 1
Direct
0.250 0.750 0.460 Ba
0.750 0.250 0.540 Ba
0.000 0.000 0.000 Sn
0.778 0.728 0.995 Pd
0.249 0.751 0.860 Pd
0.751 0.249 0.140 Pd
0.272 0.222 0.501 Pd
0.222 0.272 0.005 Pd
0.728 0.778 0.499 Pd
0.500 0.500 0.000 Sb